[1]
CdWI2 | the Alexandria database | GGA-PBE | optimized geometry; electronic total energy = -0.132 Ha/atom; symmetry = No. 122; raw formation energy = 255 kJ/mol of formula units; V = 32.5 A^3/atom
1.0
-3.805 -5.930 6.456
-3.639 -5.334 -7.045
-1.344 -7.201 -0.335
I W Cd
4 2 2
Direct
0.766 0.125 0.250
0.984 0.625 0.250
0.375 0.234 0.750
0.875 0.016 0.750
0.000 0.000 0.000
0.750 0.250 0.500
0.500 0.500 0.000
0.250 0.750 0.500



[2]
LiDy3In12 | the Alexandria database | GGA-PBE | optimized geometry; electronic total energy = -0.124 Ha/atom; E_form = -333 meV/atom; symmetry = No. 123; V = 24.6 A^3/atom
1.0
4.643 0.000 0.000
0.000 4.643 0.000
0.000 0.000 18.288
Li Dy In
1 3 12
Direct
0.000 0.000 0.000
0.000 0.000 0.246
0.000 0.000 0.500
0.000 0.000 0.754
0.500 0.500 0.000
0.500 0.500 0.248
0.500 0.500 0.500
0.500 0.500 0.752
0.500 0.000 0.117
0.500 0.000 0.373
0.500 0.000 0.627
0.500 0.000 0.883
0.000 0.500 0.117
0.000 0.500 0.373
0.000 0.500 0.627
0.000 0.500 0.883